VASP calculation (GGA-PBE) on an optimized crystal structure of GdMnGe.

Cell lengths 7.1991, 4.1598, 7.9440 Å; angles 90.00, 90.00, 90.00 degrees
Closest atoms and distances in Å follow each position.
Space group Pnma (No. 62)
Symmetry-distinct sites (fractional):
Gd (0.0163, 0.2500, 0.1833) x4  5 Ge 3.01-3.03, 4 Mn 3.05-3.37
Mn (0.1282, 0.2500, 0.5534) x4  4 Ge 2.57-2.84
Ge (0.2233, 0.7500, 0.3842) x4  4 Mn 2.57-2.84

Calculated values
As for the volume: 19.82 Å³/atom. The calculation puts the total moment at 10.5 μB per formula unit. The density of states at the Fermi level is 3.149 states/eV/f.u. The uncorrected energy comes out at -9.7402 eV per atom.

VASP calculation (GGA-PBE) on an optimized crystal structure of Ba3SrCl4F4.

Cell lengths 4.3829, 4.3829, 14.5632 Å; angles 90.00, 90.00, 90.00 degrees
Closest atoms and distances in Å follow each position.
Space group P4mm (No. 99)
Symmetry-distinct sites (fractional):
Ba (0.0000, 0.0000, 0.0000) x1  4 F 2.67
Ba (0.0000, 0.0000, 0.4887) x1  4 F 2.69
Ba (0.5000, 0.5000, 0.7881) x1  4 F 2.69
Sr (0.5000, 0.5000, 0.2922) x1  4 F 2.55
Cl (0.0000, 0.0000, 0.2190) x1  1 Ba 3.19, 4 F 3.23, 4 Sr 3.28
Cl (0.0000, 0.0000, 0.7126) x1  5 Ba 3.26-3.29, 4 F 3.44
Cl (0.5000, 0.5000, 0.0798) x1  1 Sr 3.09, 4 Ba 3.31
Cl (0.5000, 0.5000, 0.5618) x1  5 Ba 3.28-3.30, 4 F 3.41
F (0.0000, 0.5000, 0.3820) x2  2 Sr 2.55, 2 Ba 2.69
F (0.0000, 0.5000, 0.8949) x2  4 Ba 2.67-2.69

Calculated values
As for the volume: 23.31 Å³/atom. The calculation puts the formation energy without anion corrections at -3.2460 eV/atom. The calculation puts the total moment at 0.0 μB per formula unit. The density of states at the Fermi level is 0.000 states/eV/f.u. The uncorrected energy comes out at -5.1061 eV per atom.

VASP calculation (GGA-PBE) on an optimized crystal structure of KTcHg2.

Cell lengths 4.3319, 4.3319, 10.3263 Å; angles 90.00, 90.00, 90.00 degrees
Closest atoms and distances in Å follow each position.
Space group I-4m2 (No. 119)
Symmetry-distinct sites (fractional):
K (0.0000, 0.0000, 0.0000) x2  8 Hg 3.06-3.37, 4 Tc 3.37
Tc (0.0000, 0.5000, 0.7500) x2  8 Hg 3.06-3.37, 4 K 3.37
Hg (0.0000, 0.0000, 0.5000) x2  4 K 3.06, 4 Hg 3.37, 4 Tc 3.37
Hg (0.0000, 0.5000, 0.2500) x2  4 Tc 3.06, 4 K 3.37, 4 Hg 3.37

Calculated values
As for the volume: 24.22 Å³/atom. The calculation puts the total moment at 2.7 μB per formula unit. The density of states at the Fermi level is 2.562 states/eV/f.u. The uncorrected energy comes out at -2.2005 eV per atom.

VASP calculation (GGA-PBE) on an optimized crystal structure of CaAlIn2.

Cell lengths 3.3297, 4.9644, 6.1067 Å; angles 90.00, 90.14, 90.00 degrees
Closest atoms and distances in Å follow each position.
Space group P2/m (No. 10)
Symmetry-distinct sites (fractional):
Ca (0.0000, 0.0000, 0.0000) x1  2 Ca 3.33, 8 In 3.35, 4 Al 3.47-3.48
Al (0.5000, 0.0000, 0.5000) x1  4 In 2.92
In (0.4977, 0.5000, 0.7526) x2  2 Al 2.92, 2 In 3.02-3.09

Calculated values
As for the volume: 25.24 Å³/atom. The calculation puts the total moment at 0.0 μB per formula unit. The density of states at the Fermi level is 2.048 states/eV/f.u. The uncorrected energy comes out at -2.9527 eV per atom.

VASP calculation (GGA-PBE) on an optimized crystal structure of KSbIr2.

Cell lengths 3.1282, 3.1282, 8.5714 Å; angles 90.00, 90.00, 90.00 degrees
Closest atoms and distances in Å follow each position.
Space group P4/mmm (No. 123)
Symmetry-distinct sites (fractional):
K (0.0000, 0.0000, 0.0000) x1  4 K 3.13, 8 Ir 3.48
Sb (0.0000, 0.0000, 0.5000) x1  8 Ir 2.73
Ir (0.5000, 0.5000, 0.3141) x2  4 Sb 2.73

Calculated values
As for the volume: 20.97 Å³/atom. The calculation puts the formation energy without anion corrections at 0.4312 eV/atom. The calculation puts the total moment at 0.0 μB per formula unit. The density of states at the Fermi level is 1.755 states/eV/f.u. The uncorrected energy comes out at -5.3043 eV per atom.

VASP calculation (GGA-PBE) on an optimized crystal structure of YEr3Pb2C.

Cell lengths 4.7854, 4.8192, 15.9702 Å; angles 90.00, 90.00, 90.00 degrees
Closest atoms and distances in Å follow each position.
Space group Immm (No. 71)
Symmetry-distinct sites (fractional):
Y (0.0000, 0.0000, 0.0000) x2  2 C 2.41
Er (0.0000, 0.0000, 0.5000) x2  2 C 2.39
Er (0.0000, 0.5000, 0.1565) x4  1 C 2.50
Pb (0.0000, 0.5000, 0.3568) x4  7 Er 3.20-3.40, 2 Y 3.31
C (0.0000, 0.5000, 0.0000) x2  4 Er 2.39-2.50, 2 Y 2.41

Calculated values
As for the volume: 26.31 Å³/atom. The calculation puts the total moment at 0.0 μB per formula unit. The density of states at the Fermi level is 0.740 states/eV/f.u. The uncorrected energy comes out at -5.8069 eV per atom.

VASP calculation (GGA-PBE) on an optimized crystal structure of Y2AlZnAu6.

Cell lengths 5.2152, 5.7340, 7.5754 Å; angles 97.01, 108.48, 100.86 degrees
Closest atoms and distances in Å follow each position.
Space group P-1 (No. 2)
Symmetry-distinct sites (fractional):
Y (0.0631, 0.2741, 0.1883) x2  9 Au 2.97-3.29, 1 Zn 3.21
Al (0.5000, 0.0000, 0.5000) x1  6 Au 2.50-2.70
Zn (0.5000, 0.5000, 0.0000) x1  4 Au 2.68-2.69
Au (0.0172, 0.2285, 0.7414) x2  1 Zn 2.69, 1 Al 2.70, 3 Au 2.87-2.89, 2 Y 2.97
Au (0.3175, 0.5802, 0.5942) x2  1 Al 2.68, 3 Au 2.87-2.96
Au (0.4699, 0.9315, 0.1609) x2  1 Al 2.50, 1 Zn 2.68, 1 Au 2.74

Calculated values
As for the volume: 20.69 Å³/atom. The calculation puts the total moment at 0.0 μB per formula unit. The density of states at the Fermi level is 4.899 states/eV/f.u. The uncorrected energy comes out at -4.2786 eV per atom.

VASP calculation (GGA-PBE) on an optimized crystal structure of YScMo2.

Cell lengths 3.4004, 4.9832, 9.9020 Å; angles 90.00, 90.00, 90.00 degrees
Closest atoms and distances in Å follow each position.
Space group Imm2 (No. 44)
Symmetry-distinct sites (fractional):
Y (0.0000, 0.0000, 0.0000) x2  8 Mo 3.06-3.38, 4 Sc 3.24-3.32, 2 Y 3.40
Sc (0.0000, 0.5000, 0.7788) x2  8 Mo 3.05-3.37, 4 Y 3.24-3.32, 2 Sc 3.40
Mo (0.0000, 0.0000, 0.5494) x2  2 Mo 2.48
Mo (0.0000, 0.5000, 0.2312) x2  2 Mo 2.48

Calculated values
As for the volume: 20.97 Å³/atom. The calculation puts the total moment at 0.0 μB per formula unit. The density of states at the Fermi level is 4.086 states/eV/f.u. The uncorrected energy comes out at -8.4755 eV per atom.